(1)
VASP calculation (SCAN) on a crystal of Ba3Fe2Br2O5 relaxed with PBEsol.

M_tot   10.0 μB per formula unit
ΔE_f (raw)   -2749 kJ/mol of formula units

Cell: 8.7221 8.7221 8.7221 Å, 109.47 109.47 109.47°
Last column: nearest neighbours and their distance in Å.
Fractional coordinates of all 24 atoms:
1 Ba 0.0982 0.7500 0.8482  3 O 2.64-2.65
2 Ba 0.2500 0.6518 0.4018  3 O 2.64-2.65
3 Ba 0.4018 0.2500 0.6518  3 O 2.64-2.65
4 Ba 0.6518 0.4018 0.2500  3 O 2.64-2.65
5 Ba 0.7500 0.8482 0.0982  3 O 2.64-2.65
6 Ba 0.8482 0.0982 0.7500  3 O 2.64-2.65
7 Fe 0.0000 0.3118 0.5000  4 O 1.82-1.89
8 Fe 0.1882 0.1882 0.1882  4 O 1.82-1.89
9 Fe 0.3118 0.5000 0.0000  4 O 1.82-1.89
10 Fe 0.5000 0.0000 0.3118  4 O 1.82-1.89
11 Br 0.0000 0.8808 0.5000  1 O 3.14, 3 Ba 3.31
12 Br 0.5000 0.0000 0.8808  1 O 3.14, 3 Ba 3.31
13 Br 0.6192 0.6192 0.6192  1 O 3.14, 3 Ba 3.31
14 Br 0.8808 0.5000 0.0000  1 O 3.14, 3 Ba 3.31
15 O 0.0000 0.5207 0.5000  1 Fe 1.82
16 O 0.1099 0.3599 0.7500  2 Fe 1.89
17 O 0.1401 0.2500 0.3901  2 Fe 1.89
18 O 0.2500 0.3901 0.1401  2 Fe 1.89
19 O 0.3599 0.7500 0.1099  2 Fe 1.89
20 O 0.3901 0.1401 0.2500  2 Fe 1.89
21 O 0.5000 0.0000 0.5207  1 Fe 1.82
22 O 0.5207 0.5000 0.0000  1 Fe 1.82
23 O 0.7500 0.1099 0.3599  2 Fe 1.89
24 O 0.9793 0.9793 0.9793  1 Fe 1.82

***

(2)
VASP calculation (SCAN) on a crystal of CeLuMg2 relaxed with PBEsol.

DFT formation energy   -2 meV per atom
Density of states at the Fermi level   4.36 states/eV/cell
M_tot   1.0 μB per formula unit

Cell: 5.2623 5.2623 5.2623 Å, 60.00 60.00 60.00°
Last column: nearest neighbours and their distance in Å.
Fractional coordinates of all 4 atoms:
1 Ce 0.0000 0.0000 0.0000  8 Mg 3.22
2 Lu 0.5000 0.5000 0.5000  8 Mg 3.22
3 Mg 0.2500 0.2500 0.2500  4 Ce 3.22, 4 Lu 3.22
4 Mg 0.7500 0.7500 0.7500  4 Ce 3.22, 4 Lu 3.22

***

(3)
VASP calculation (SCAN) on a crystal of BaZrNb2F relaxed with PBEsol.

Density of states at the Fermi level   5.39 states/eV/cell
M_tot   0.0 μB per formula unit
ΔE_f (raw)   61 kJ/mol of formula units

Cell: 4.4282 4.4282 5.1045 Å, 90.00 90.00 90.00°
Last column: nearest neighbours and their distance in Å.
Fractional coordinates of all 5 atoms:
1 Ba 0.0000 0.0000 0.0000  2 F 2.55
2 Zr 0.5000 0.5000 0.0000  4 Ba 3.13, 8 Nb 3.38
3 Nb 0.0000 0.5000 0.5000  2 F 2.21
4 Nb 0.5000 0.0000 0.5000  2 F 2.21
5 F 0.0000 0.0000 0.5000  4 Nb 2.21

***

(4)
VASP calculation (SCAN) on a crystal of YMgMo2 relaxed with PBEsol.

DFT formation energy   556 meV per atom
Density of states at the Fermi level   2.98 states/eV/cell
M_tot   0.0 μB per formula unit

Cell: 5.5163 5.5163 2.7526 Å, 90.00 90.00 118.19°
Last column: nearest neighbours and their distance in Å.
Fractional coordinates of all 4 atoms:
1 Y 0.0000 0.0000 0.0000  2 Y 2.75, 2 Mg 2.83, 8 Mo 3.08
2 Mg 0.5000 0.5000 0.0000  2 Mg 2.75, 2 Y 2.83, 8 Mo 3.08
3 Mo 0.0000 0.5000 0.5000  4 Mo 2.75-2.83, 4 Mg 3.08, 4 Y 3.08
4 Mo 0.5000 0.0000 0.5000  4 Mo 2.75-2.83, 4 Mg 3.08, 4 Y 3.08

***

(5)
VASP calculation (SCAN) on a crystal of MgNi relaxed with PBEsol.

DFT formation energy   -1 meV per atom
Density of states at the Fermi level   4.59 states/eV/cell
M_tot   0.0 μB per formula unit

Cell: 2.9247 2.9247 6.8627 Å, 90.00 90.00 90.00°
Last column: nearest neighbours and their distance in Å.
Fractional coordinates of all 4 atoms:
1 Mg 0.2500 0.2500 0.1805  5 Ni 2.60-2.81
2 Mg 0.7500 0.7500 0.8195  5 Ni 2.60-2.81
3 Ni 0.2500 0.2500 0.5906  4 Ni 2.41, 4 Mg 2.60
4 Ni 0.7500 0.7500 0.4094  4 Ni 2.41, 4 Mg 2.60

***

(6)
VASP calculation (SCAN) on a crystal of Ag2TeCl relaxed with PBEsol.

Polymorph energy (0 for the lowest one)   28 meV/atom
Density of states at the Fermi level   0.85 states/eV/cell
M_tot   0.0 μB per formula unit
ΔE_f (raw)   -90 kJ/mol of formula units

Cell: 3.3266 3.9703 6.7315 Å, 90.00 90.00 90.00°
Last column: nearest neighbours and their distance in Å.
Fractional coordinates of all 4 atoms:
1 Ag 0.0000 0.0000 0.0000  1 Cl 2.69, 4 Te 2.87
2 Ag 0.5000 0.5000 0.2315  1 Te 2.79, 4 Cl 2.83, 4 Ag 3.02
3 Te 0.5000 0.5000 0.8176  5 Ag 2.79-2.87
4 Cl 0.0000 0.0000 0.3992  5 Ag 2.69-2.83

***

(7)
VASP calculation (SCAN) on a crystal of BiIrSe2 relaxed with PBEsol.

Density of states at the Fermi level   3.50 states/eV/cell
M_tot   0.0 μB per formula unit
ΔE_f (raw)   37 kJ/mol of formula units

Cell: 6.0864 6.0864 6.0864 Å, 104.55 104.55 119.84°
Last column: nearest neighbours and their distance in Å.
Fractional coordinates of all 8 atoms:
1 Bi 0.0000 0.0000 0.0000  2 Ir 3.05, 8 Se 3.09-3.25
2 Bi 0.7500 0.2500 0.5000  2 Ir 3.05, 8 Se 3.09-3.25
3 Ir 0.2500 0.7500 0.5000  4 Se 2.44
4 Ir 0.5000 0.5000 0.0000  4 Se 2.44
5 Se 0.1905 0.6250 0.0655  2 Ir 2.44
6 Se 0.3750 0.4405 0.5655  2 Ir 2.44
7 Se 0.5595 0.1250 0.9345  2 Ir 2.44
8 Se 0.8750 0.8095 0.4345  2 Ir 2.44

***

(8)
VASP calculation (SCAN) on a crystal of Nb3CuHg relaxed with PBEsol.

DFT formation energy   949 meV per atom
Density of states at the Fermi level   1.89 states/eV/cell
M_tot   2.2 μB per formula unit

Cell: 4.6245 4.6245 4.6245 Å, 90.00 90.00 90.00°
Last column: nearest neighbours and their distance in Å.
Fractional coordinates of all 5 atoms:
1 Nb 0.0000 0.0000 0.5000  2 Cu 2.31
2 Nb 0.0000 0.5000 0.0000  2 Cu 2.31
3 Nb 0.5000 0.0000 0.0000  2 Cu 2.31
4 Cu 0.0000 0.0000 0.0000  6 Nb 2.31
5 Hg 0.5000 0.5000 0.5000  12 Nb 3.27

***

M_tot of number 8 (Nb3CuHg)? 2.2 μB per formula unit

***

The highest M_tot belongs to which entry? Ba3Fe2Br2O5

***

Among the records above, which one has the highest M_tot? Ba3Fe2Br2O5